VASP calculation (PBE-GGA) on an optimized crystal structure of AgAu3O.

Geometry as POSCAR:
```
AgAu3O
1.0
4.5066 0.0000 0.0000
0.0000 4.5066 0.0000
0.0000 0.0000 4.5066
Ag Au O
1 3 1
Cartesian
0.0000 0.0000 0.0000 Ag
0.0000 2.2533 2.2533 Au
2.2533 0.0000 2.2533 Au
2.2533 2.2533 0.0000 Au
2.2533 2.2533 2.2533 O
```

Calculated values
- symmetry = Pm-3m
- polymorph energy (0 for the lowest one) (eV per formula unit) = 0.00
- ΔE_f (raw) (eV/atom) = 0.38

***

VASP calculation (PBE-GGA) on an optimized crystal structure of AgAuO3.

Geometry as POSCAR:
```
AgAuO3
1.0
4.0357 0.0000 0.0000
0.0000 4.0357 0.0000
0.0000 0.0000 4.0357
Ag Au O
1 1 3
Cartesian
0.0000 0.0000 0.0000 Ag
2.0179 2.0179 2.0179 Au
0.0000 2.0179 2.0179 O
2.0179 0.0000 2.0179 O
2.0179 2.0179 0.0000 O
```

Calculated values
- symmetry = Pm-3m
- ΔE_f (raw) (eV/atom) = 0.56

***

VASP calculation (PBE-GGA) on an optimized crystal structure of Ag12AuO7.

Geometry as POSCAR:
```
Ag12AuO7
1.0
5.7448 3.3168 2.7069
-5.7448 3.3168 2.7069
0.0000 -6.6336 2.7069
Ag Au O
12 1 7
Cartesian
-0.9130 -3.2663 2.5043 Ag
-2.0186 -0.4637 2.9731 Ag
-2.3722 2.4238 2.5043 Ag
-3.2852 -0.8425 5.6165 Ag
1.4109 -1.5163 2.9731 Ag
-0.6078 -1.9800 5.1477 Ag
0.6078 1.9800 2.9731 Ag
-1.4109 1.5163 5.1477 Ag
3.2852 0.8425 2.5043 Ag
2.3723 -2.4238 5.6165 Ag
2.0186 0.4637 5.1477 Ag
0.9130 3.2663 5.6165 Ag
0.0000 0.0000 0.0000 Au
-4.6774 -1.8055 4.2614 O
-0.7751 -4.9535 3.8594 O
-3.9023 3.1480 3.8594 O
0.0000 0.0000 4.0604 O
3.9023 -3.1480 4.2614 O
0.7751 4.9535 4.2614 O
4.6774 1.8055 3.8594 O
```

Calculated values
- symmetry = R-3
- ΔE_f (raw) (eV/atom) = 0.05

***

VASP calculation (PBE-GGA) on an optimized crystal structure of Ag2AuO2.

Geometry as POSCAR:
```
Ag2AuO2
1.0
3.2826 0.0000 0.0000
0.0000 3.2826 0.0000
0.0000 0.0000 14.3389
Ag Au O
4 2 4
Cartesian
0.0000 0.0000 2.2107 Ag
0.0000 0.0000 12.1282 Ag
1.6413 1.6413 4.9588 Ag
1.6413 1.6413 9.3801 Ag
0.0000 0.0000 7.1694 Au
1.6413 1.6413 0.0000 Au
0.0000 0.0000 5.0792 O
0.0000 0.0000 9.2597 O
1.6413 1.6413 2.0903 O
1.6413 1.6413 12.2486 O
```

Calculated values
- symmetry = I4/mmm
- ΔE_f (raw) (eV/atom) = -0.01

***

VASP calculation (PBE-GGA) on an optimized crystal structure of AgAu3O.

Geometry as POSCAR:
```
AgAu3O
1.0
5.0906 0.0000 0.0000
0.0000 5.0906 0.0000
0.0000 0.0000 5.0906
Ag Au O
1 3 1
Cartesian
0.0000 0.0000 0.0000 Ag
0.0000 0.0000 2.5453 Au
0.0000 2.5453 0.0000 Au
2.5453 0.0000 0.0000 Au
2.5453 2.5453 2.5453 O
```

Calculated values
- symmetry = Pm-3m
- polymorph energy (0 for the lowest one) (eV per formula unit) = 5.16
- ΔE_f (raw) (eV/atom) = 1.42

***

VASP calculation (PBE-GGA) on an optimized crystal structure of AgAu2O2.

Geometry as POSCAR:
```
AgAu2O2
1.0
4.3741 0.0000 0.0000
0.0000 4.3741 0.0000
0.0000 0.0000 8.4491
Ag Au O
2 4 4
Cartesian
0.0000 0.0000 0.0000 Ag
2.1871 2.1871 4.2245 Ag
0.0000 0.0000 2.7475 Au
0.0000 0.0000 5.7016 Au
2.1871 2.1871 1.4770 Au
2.1871 2.1871 6.9720 Au
0.0000 2.1871 2.1123 O
0.0000 2.1871 6.3368 O
2.1871 0.0000 2.1123 O
2.1871 0.0000 6.3368 O
```

Calculated values
- symmetry = I4/mmm
- polymorph energy (0 for the lowest one) (eV per formula unit) = 1.83
- ΔE_f (raw) (eV/atom) = 0.39

***

VASP calculation (PBE-GGA) on an optimized crystal structure of AgAu2O2.

Geometry as POSCAR:
```
AgAu2O2
1.0
3.9823 -5.2514 0.0000
3.9823 5.2514 0.0000
-3.5242 0.0000 4.2260
Ag Au O
2 4 4
Cartesian
1.3391 4.1376 3.1695 Ag
3.1012 -4.1376 1.0565 Ag
1.9911 2.6257 0.0000 Au
0.2290 -2.6257 2.1130 Au
3.9823 0.0000 0.0000 Au
2.2202 0.0000 2.1130 Au
-1.0177 0.9489 3.2027 O
0.7444 -0.9489 1.0897 O
3.6960 0.9489 3.1362 O
5.4581 -0.9489 1.0233 O
```

Calculated values
- symmetry = C2/c
- polymorph energy (0 for the lowest one) (eV per formula unit) = 0.00
- ΔE_f (raw) (eV/atom) = 0.02

***

VASP calculation (PBE-GGA) on an optimized crystal structure of AgAu2O4.

Geometry as POSCAR:
```
AgAu2O4
1.0
6.4743 0.0000 0.0000
0.0000 6.4743 0.0000
0.0000 0.0000 6.9701
Ag Au O
2 4 8
Cartesian
0.0000 0.0000 0.0000 Ag
3.2371 3.2371 3.4851 Ag
0.0000 3.2371 1.7425 Au
0.0000 3.2371 5.2276 Au
3.2371 0.0000 1.7425 Au
3.2371 0.0000 5.2276 Au
0.0464 4.4135 0.0000 O
1.1764 3.1907 3.4851 O
2.0607 0.0464 0.0000 O
3.1907 5.2979 3.4851 O
3.2836 1.1764 3.4851 O
4.4135 6.4278 0.0000 O
5.2979 3.2836 3.4851 O
6.4278 2.0607 0.0000 O
```

Calculated values
- symmetry = I4/m
- polymorph energy (0 for the lowest one) (eV per formula unit) = 2.85
- ΔE_f (raw) (eV/atom) = 0.33

***

VASP calculation (PBE-GGA) on an optimized crystal structure of Ag3AuO6.

Geometry as POSCAR:
```
Ag3AuO6
1.0
2.7514 1.5885 5.0773
-2.7514 1.5885 5.0773
0.0000 -3.1771 5.0773
Ag Au O
3 1 6
Cartesian
0.0000 0.0000 0.0000 Ag
0.0000 0.0000 3.0327 Ag
0.0000 0.0000 7.3979 Ag
0.0000 0.0000 10.4063 Au
-0.9731 -1.7375 6.3787 O
-1.6249 -0.1002 9.1041 O
-1.0182 1.7115 6.3786 O
0.8992 -1.3571 9.1040 O
1.9913 0.0261 6.3787 O
0.7257 1.4573 9.1040 O
```

Calculated values
- symmetry = R3
- ΔE_f (raw) (eV/atom) = 0.14

***

VASP calculation (PBE-GGA) on an optimized crystal structure of Ag5AuO4.

Geometry as POSCAR:
```
Ag5AuO4
1.0
6.6662 0.0000 0.0000
0.0000 9.5657 0.0000
0.0000 0.0000 5.0098
Ag Au O
10 2 8
Cartesian
0.1844 0.9065 1.0993 Ag
0.1844 3.8763 1.0993 Ag
1.6665 2.3914 3.1416 Ag
3.1487 0.9065 1.0993 Ag
3.1487 3.8763 1.0993 Ag
3.5174 5.6893 3.9104 Ag
3.5174 8.6592 3.9104 Ag
4.9996 7.1743 1.8682 Ag
6.4818 5.6893 3.9104 Ag
6.4818 8.6592 3.9104 Ag
1.6665 7.1743 2.0721 Au
4.9996 2.3914 2.9376 Au
0.0412 7.1743 0.4676 O
1.6665 5.1255 2.2728 O
1.6665 9.2231 2.2728 O
3.2918 7.1743 0.4676 O
3.3743 2.3914 4.5422 O
4.9996 0.3426 2.7369 O
4.9996 4.4402 2.7369 O
6.6249 2.3914 4.5422 O
```

Calculated values
- symmetry = Pmmn
- ΔE_f (raw) (eV/atom) = 0.11

***

VASP calculation (PBE-GGA) on an optimized crystal structure of Ag3AuO3.

Geometry as POSCAR:
```
Ag3AuO3
1.0
7.4754 0.0000 0.0000
-3.7377 6.4739 0.0000
0.0000 0.0000 4.4198
Ag Au O
6 2 6
Cartesian
-2.1180 4.5842 1.1050 Ag
0.8267 2.3476 1.1050 Ag
2.4464 0.4579 3.3149 Ag
1.2913 6.0160 1.1050 Ag
2.9110 4.1263 3.3149 Ag
5.8557 1.8897 3.3149 Ag
0.0000 4.3159 3.3149 Au
3.7377 2.1580 1.1050 Au
-2.2930 4.5072 3.3149 O
0.9809 2.2345 3.3149 O
2.4256 0.2678 1.1050 O
1.3121 6.2061 3.3149 O
2.7568 4.2394 1.1050 O
6.0307 1.9667 1.1050 O
```

Calculated values
- symmetry = P6_3/m
- ΔE_f (raw) (eV/atom) = 0.17

***

VASP calculation (PBE-GGA) on an optimized crystal structure of AgAuO.

Geometry as POSCAR:
```
AgAuO
1.0
3.1731 0.0000 0.0000
0.0000 4.3159 0.0000
-0.1509 0.0000 6.7178
Ag Au O
2 2 2
Cartesian
0.6470 1.0790 2.2642 Ag
2.3752 3.2369 4.4536 Ag
0.6469 1.0790 6.1868 Au
2.3753 3.2369 0.5310 Au
0.3789 3.2369 2.4741 O
2.6433 1.0790 4.2437 O
```

Calculated values
- symmetry = P2_1/m
- ΔE_f (raw) (eV/atom) = 0.13

***

VASP calculation (PBE-GGA) on an optimized crystal structure of Ag5Au2O5.

Geometry as POSCAR:
```
Ag5Au2O5
1.0
5.2496 -1.5736 0.0000
5.2496 1.5736 0.0000
-2.8956 0.0000 10.3917
Ag Au O
5 2 5
Cartesian
0.0000 0.0000 0.0000 Ag
0.1879 0.0000 5.9657 Ag
0.2541 0.0000 8.7801 Ag
7.3495 0.0000 1.6116 Ag
7.4157 0.0000 4.4261 Ag
4.2514 0.0000 3.0012 Au
3.3521 0.0000 7.3905 Au
0.9257 0.0000 3.1989 O
3.9853 0.0000 0.8464 O
3.8018 0.0000 5.1959 O
3.6183 0.0000 9.5453 O
6.6779 0.0000 7.1928 O
```

Calculated values
- symmetry = C2/m
- ΔE_f (raw) (eV/atom) = 0.16

***

VASP calculation (PBE-GGA) on an optimized crystal structure of AgAuO3.

Geometry as POSCAR:
```
AgAuO3
1.0
8.1990 0.0000 0.0000
0.0000 6.3886 0.0000
0.0000 0.0000 6.1479
Ag Au O
4 4 12
Cartesian
0.0000 0.0000 0.0000 Ag
0.0000 3.1943 0.0000 Ag
4.0995 0.0000 3.0740 Ag
4.0995 3.1943 3.0740 Ag
0.0211 1.5971 3.0760 Au
4.0784 4.7914 0.0020 Au
4.1206 1.5971 6.1459 Au
8.1779 4.7914 3.0719 Au
0.6579 3.2104 1.9573 O
0.6579 6.3724 1.9573 O
1.1270 4.7914 5.7718 O
2.9725 1.5971 2.6979 O
3.4416 0.0161 5.0312 O
3.4416 3.1781 5.0312 O
4.7574 3.2104 1.1167 O
4.7574 6.3724 1.1167 O
5.2265 4.7914 3.4501 O
7.0720 1.5971 0.3761 O
7.5411 0.0161 4.1907 O
7.5411 3.1781 4.1907 O
```

Calculated values
- symmetry = Pnma
- ΔE_f (raw) (eV/atom) = 0.08

***

VASP calculation (PBE-GGA) on an optimized crystal structure of AgAuO.

Geometry as POSCAR:
```
AgAuO
1.0
11.1741 0.0000 0.0000
0.0000 3.1039 0.0000
-2.4032 0.0000 5.2799
Ag Au O
4 4 4
Cartesian
-0.3374 0.0000 1.4237 Ag
3.5212 1.5520 3.8563 Ag
5.2497 1.5520 1.4237 Ag
9.1082 0.0000 3.8563 Ag
1.9794 1.5520 1.4592 Au
1.2045 0.0000 3.8208 Au
7.5664 0.0000 1.4592 Au
6.7915 1.5520 3.8208 Au
-0.5350 1.5520 4.4659 O
3.7188 0.0000 0.8141 O
5.0520 0.0000 4.4659 O
9.3059 1.5520 0.8141 O
```

Calculated values
- symmetry = C2/m
- ΔE_f (raw) (eV/atom) = 0.15

***

VASP calculation (PBE-GGA) on an optimized crystal structure of Ag2AuO.

Geometry as POSCAR:
```
Ag2AuO
1.0
5.1843 0.0000 0.0000
0.0000 5.1843 0.0000
0.0000 0.0000 12.5855
Ag Au O
8 4 4
Cartesian
0.6364 1.2961 1.5732 Ag
1.2961 3.2285 4.7196 Ag
1.2961 4.5479 11.0123 Ag
1.9557 1.2961 7.8659 Ag
3.2285 3.8882 7.8659 Ag
3.8882 0.6364 11.0123 Ag
3.8882 1.9557 4.7196 Ag
4.5479 3.8882 1.5732 Ag
0.0000 0.0000 6.2927 Au
0.0000 2.5921 9.4391 Au
2.5921 0.0000 3.1464 Au
2.5921 2.5921 0.0000 Au
0.0000 0.0000 0.0000 O
0.0000 2.5921 3.1464 O
2.5921 0.0000 9.4391 O
2.5921 2.5921 6.2927 O
```

Calculated values
- symmetry = I-42d
- ΔE_f (raw) (eV/atom) = 0.32

***

VASP calculation (PBE-GGA) on an optimized crystal structure of Ag4AuO4.

Geometry as POSCAR:
```
Ag4AuO4
1.0
-3.8174 3.8174 2.2390
3.8174 -3.8174 2.2390
3.8174 3.8174 -2.2390
Ag Au O
4 1 4
Cartesian
5.5359 0.6380 0.0000 Ag
0.6380 2.0989 0.0000 Ag
3.1794 1.7185 2.2390 Ag
-1.7185 3.1794 2.2390 Ag
0.0000 0.0000 2.2390 Au
3.3318 1.8232 0.0000 O
1.9942 -0.4856 2.2390 O
1.8232 4.3030 0.0000 O
0.4856 1.9942 2.2390 O
```

Calculated values
- symmetry = I4/m
- ΔE_f (raw) (eV/atom) = -0.01

***

VASP calculation (PBE-GGA) on an optimized crystal structure of AgAu2O4.

Geometry as POSCAR:
```
AgAu2O4
1.0
-2.9820 2.9820 5.3950
2.9820 -2.9820 5.3950
2.9820 2.9820 -5.3950
Ag Au O
2 4 8
Cartesian
0.0000 1.4910 1.3487 Ag
2.9820 1.4910 4.0462 Ag
1.4910 1.4910 -2.6975 Au
1.4910 -1.4910 2.6975 Au
2.9820 0.0000 0.0000 Au
0.0000 0.0000 5.3950 Au
1.2542 -0.3563 1.0186 O
4.1168 0.2369 1.6789 O
1.2542 2.6258 -1.0186 O
1.1348 0.2369 3.7161 O
1.8473 2.7452 1.6789 O
1.7279 0.3563 6.4136 O
-1.1348 2.7452 3.7161 O
1.7279 3.3383 4.3764 O
```

Calculated values
- symmetry = I4_1/a
- polymorph energy (0 for the lowest one) (eV per formula unit) = 0.00
- ΔE_f (raw) (eV/atom) = -0.07

***

VASP calculation (PBE-GGA) on an optimized crystal structure of Ag2AuO4.

Geometry as POSCAR:
```
Ag2AuO4
1.0
0.0000 3.6699 4.5643
2.9577 0.0000 4.5643
2.9577 3.6699 0.0000
Ag Au O
2 1 4
Cartesian
1.4788 1.8349 2.2822 Ag
4.4365 5.5048 6.8465 Ag
0.0000 0.0000 0.0000 Au
2.9577 3.6699 2.0220 O
2.9577 1.9485 4.5643 O
2.9577 5.3913 4.5643 O
2.9577 3.6699 7.1067 O
```

Calculated values
- symmetry = Fmmm
- ΔE_f (raw) (eV/atom) = 0.23

***

VASP calculation (PBE-GGA) on an optimized crystal structure of AgAu2O2.

Geometry as POSCAR:
```
AgAu2O2
1.0
7.3060 0.0000 0.0000
0.0000 7.3060 0.0000
0.0000 0.0000 2.9702
Ag Au O
2 4 4
Cartesian
0.0000 0.0000 0.0000 Ag
3.6530 3.6530 0.0000 Ag
0.9246 2.7284 0.0000 Au
2.7284 6.3814 0.0000 Au
4.5776 0.9246 0.0000 Au
6.3814 4.5776 0.0000 Au
1.6696 5.3226 1.4851 O
1.9834 1.6696 1.4851 O
5.3226 5.6364 1.4851 O
5.6364 1.9834 1.4851 O
```

Calculated values
- symmetry = P4/mbm
- polymorph energy (0 for the lowest one) (eV per formula unit) = 2.25
- ΔE_f (raw) (eV/atom) = 0.47

***

VASP calculation (PBE-GGA) on an optimized crystal structure of Ag2AuO3.

Geometry as POSCAR:
```
Ag2AuO3
1.0
5.7470 0.0000 0.0000
-2.8735 4.9770 0.0000
0.0000 0.0000 5.8957
Ag Au O
4 2 6
Cartesian
0.0000 3.3180 0.0000 Ag
0.0000 3.3180 2.9478 Ag
2.8735 1.6590 0.0000 Ag
2.8735 1.6590 2.9478 Ag
0.0000 0.0000 1.4739 Au
0.0000 0.0000 4.4218 Au
-1.0729 1.8584 1.4739 O
-1.8005 3.1186 4.4218 O
2.1459 0.0000 1.4739 O
1.0729 1.8584 4.4218 O
3.6011 0.0000 4.4218 O
1.8005 3.1186 1.4739 O
```

Calculated values
- symmetry = P6_3/mcm
- ΔE_f (raw) (eV/atom) = 0.21

***

VASP calculation (PBE-GGA) on an optimized crystal structure of AgAuO3.

Geometry as POSCAR:
```
AgAuO3
1.0
0.0000 5.1546 5.1546
5.1546 0.0000 5.1546
5.1546 5.1546 0.0000
Ag Au O
4 4 12
Cartesian
0.0000 0.0000 0.0000 Ag
2.5773 2.5773 0.0000 Ag
2.5773 0.0000 2.5773 Ag
0.0000 2.5773 2.5773 Ag
5.1546 2.5773 2.5773 Au
2.5773 5.1546 2.5773 Au
2.5773 2.5773 5.1546 Au
5.1546 5.1546 5.1546 Au
3.8660 3.8660 1.6361 O
3.8660 1.6361 3.8660 O
6.0958 3.8660 3.8660 O
6.4433 6.4433 4.2134 O
6.4433 4.2134 6.4433 O
8.6731 6.4433 6.4433 O
1.6361 3.8660 3.8660 O
3.8660 6.0958 3.8660 O
3.8660 3.8660 6.0958 O
4.2134 6.4433 6.4433 O
6.4433 8.6731 6.4433 O
6.4433 6.4433 8.6731 O
```

Calculated values
- symmetry = Fd-3m
- ΔE_f (raw) (eV/atom) = 0.07